[1]
Here is a relaxed SbIrRh2 crystal from the Alexandria database. Energies are from PBE.

For the magnetic moment, the calculation gives 0.0 μB per formula unit. The total energy is -0.25331 hartree per atom.

It has space group C2/m (No. 12), with a = 8.971 Å, b = 3.012 Å, c = 4.844 Å, α = 90.00°, β = 102.46° and γ = 90.00°. The inequivalent atoms are Sb at (0.000, 0.000, 0.000), Ir at (0.000, 0.500, 0.500) and Rh at (0.248, 0.500, 0.262).



[2]
Here is a relaxed Hf6Zr2Tc crystal from the Alexandria database. Energies are from PBE.

For the magnetic moment, the calculation gives 0.1 μB per formula unit. The total energy is -0.35101 hartree per atom. The calculation puts the formation energy at 0.14 eV/atom.

It has space group C2/m (No. 12), with a = 15.200 Å, b = 8.409 Å, c = 3.090 Å, α = 90.00°, β = 90.14° and γ = 90.00°. The inequivalent atoms are Hf at (0.000, 0.201, 0.000), Hf at (0.160, 0.326, 0.501), Zr at (0.174, 0.000, 0.998) and Tc at (0.000, 0.500, 0.500).



| no. | DOS at the Fermi energy (states/eV/cell) |
| --- | --- |
| 1 | 10.48 |
| 2 | 19.24 |